Density functional theory data (PBE-GGA) for a relaxed La5Nd2Er crystal.

Cell and atoms, written as extended XYZ:
```
16
Lattice="-4.9573 2.2563 -2.1175 -1.3449 -8.7438 1.8953 -3.3307 2.8640 10.8493" Properties=species:S:1:pos:R:3 pbc="T T T"
Nd -6.0448 -2.0320 3.9229
Nd -4.6881 -0.6457 10.2874
Nd -3.5880 -1.5916 6.7042
Nd -4.9448 -2.9779 0.3397
La -7.9931 -4.0131 6.3732
La -5.4812 -3.7939 8.7897
La -8.8916 -3.2405 9.2999
La -4.1517 0.1703 1.8375
La -1.6398 0.3895 4.2540
La -6.1888 2.4066 8.9895
La -3.4440 -6.0301 1.6376
La -0.7413 -0.3831 1.3273
La -4.5275 -5.0985 5.1668
La -5.1054 1.4749 5.4603
Er -2.5857 -2.7756 3.0959
Er -7.0472 -0.8479 7.5313
```

## Properties
* total moment: 0.000 μB per atom
* DOS at the Fermi energy: 24.994 states/eV/cell
* ΔE_f: 0.114 eV per atom
* symmetry: Cmcm, No. 63
* E: -4.7282 eV per atom

***

Density functional theory data (PBE-GGA) for a relaxed LaTm2Cd2In2 crystal.

Cell and atoms, written as extended XYZ:
```
7
Lattice="4.9954 0.0000 0.0000 2.4977 4.3262 0.0000 2.4977 1.4421 8.8557" Properties=species:S:1:pos:R:3 pbc="T T T"
In 7.4932 4.3262 6.9378
In 2.4977 1.4421 1.9179
Cd 4.9954 2.8841 2.4962
Cd 4.9954 2.8841 6.3595
Tm 2.4977 1.4421 5.3102
Tm 7.4932 4.3262 3.5455
La 0.0000 0.0000 0.0000
```

## Properties
* total moment: 0.000 μB per atom
* DOS at the Fermi energy: 3.997 states/eV/cell
* ΔE_f: -0.280 eV per atom
* symmetry: R-3m, No. 166
* E: -3.3050 eV per atom

***

Density functional theory data (PBE-GGA) for a relaxed MgZn2Sb crystal.

Cell and atoms, written as extended XYZ:
```
4
Lattice="3.1639 0.0036 0.0000 -0.0645 3.1633 0.0000 0.0000 0.0000 8.1332" Properties=species:S:1:pos:R:3 pbc="T T T"
Sb 1.5497 1.5834 6.1063
Zn 1.5497 1.5834 1.9100
Zn 0.0000 0.0000 0.4255
Mg 0.0000 0.0000 3.7578
```

## Properties
* total moment: 0.000 μB per atom
* DOS at the Fermi energy: 1.487 states/eV/cell
* symmetry: Cmm2, No. 35
* E: -2.0199 eV per atom
* ΔE_f (raw): 0.046 eV/atom

***

Density functional theory data (PBE-GGA) for a relaxed Ag5Rh crystal.

Cell and atoms, written as extended XYZ:
```
6
Lattice="-4.2683 -2.7131 1.7896 -4.6593 0.2814 -2.6445 -1.8034 -4.2596 -2.7176" Properties=species:S:1:pos:R:3 pbc="T T T"
Rh 0.0000 0.0000 0.0000
Ag -4.9252 -4.6410 -2.6999
Ag -6.3553 -2.3670 -2.6633
Ag -8.0482 -5.0185 -2.6794
Ag -6.1595 -3.8666 -0.4428
Ag -4.0221 -2.5080 -1.3390
```

## Properties
* total moment: 0.000 μB per atom
* DOS at the Fermi energy: 2.636 states/eV/cell
* ΔE_f: 0.364 eV per atom
* symmetry: F-43m, No. 216
* E: -3.2373 eV per atom
* excess energy over the best structure of this formula in the dataset: 0.229 eV/atom